# 1
Entry from the Alexandria database: ScRePt2 after structural relaxation (PBE).

a b c (Å): 2.8102 4.0688 5.6038
angles (deg): 90.00 90.00 90.00
Last column: nearest neighbours and their distance in Å.
Space group Pmmm (No. 47)
Asymmetric unit:
1 Sc 0.0000 0.0000 0.0000 x1  2 Re 2.80, 2 Sc 2.81, 8 Pt 2.87
2 Re 0.0000 0.0000 0.5000 x1  2 Sc 2.80, 2 Re 2.81, 8 Pt 2.81
3 Pt 0.5000 0.5000 0.2606 x2  4 Pt 2.68-2.92, 4 Re 2.81, 4 Sc 2.87

formation energy from the elements = -518 meV per atom
magnetic moment = 0.0 μB/f.u.


# 2
Entry from the Alexandria database: Tl2CrAu after structural relaxation (PBE).

a b c (Å): 3.8950 4.3487 5.9040
angles (deg): 90.00 109.24 90.00
Last column: nearest neighbours and their distance in Å.
Space group Pm (No. 6)
Asymmetric unit:
1 Tl 0.0000 0.0000 0.0000 x1  3 Cr 2.99-3.24, 4 Au 3.06-3.07
2 Tl 0.3120 0.5000 0.6193 x1  4 Cr 3.04, 3 Au 3.06-3.19
3 Cr 0.7345 0.0000 0.4641 x1  2 Au 2.73, 5 Tl 2.99-3.04
4 Au 0.5834 0.5000 0.1682 x1  2 Cr 2.73

formation energy from the elements = 309 meV per atom
magnetic moment = 4.3 μB/f.u.


# 3
Entry from the Alexandria database: Na3Cu2O4 after structural relaxation (PBE).

a b c (Å): 10.9845 2.8827 8.0422
angles (deg): 90.00 113.00 90.00
Last column: nearest neighbours and their distance in Å.
Space group C2/m (No. 12)
Asymmetric unit:
1 Na 0.0000 0.0000 0.0000 x2  4 O 2.38
2 Na 0.1217 0.5000 0.3921 x4  4 O 2.25-2.36
3 Cu 0.1728 0.0000 0.7756 x4  4 O 1.91-1.92
4 O 0.0807 0.5000 0.8310 x4  2 Cu 1.91
5 O 0.2430 0.0000 0.2966 x4  2 Cu 1.92

formation energy (no corrections) = -894 kJ/mol of formula units
magnetic moment = 0.9 μB/f.u.